No. 1
First-principles (GGA-PBE) data for crystalline PaAlCu at its relaxed geometry, as listed in Alexandria via LeMat-Bulk.

Cell lengths 4.4764, 4.4764, 4.4764 Å; angles 60.00, 60.00, 60.00 degrees
Atoms (fractional coordinates):
Pa: 0.0000 0.0000 0.0000
Al: 0.5000 0.5000 0.5000
Cu: 0.2500 0.2500 0.2500

Computed properties:
For the density of states at the Fermi level, the calculation gives 1.3359 states/eV/atom.

---

No. 2
First-principles (GGA-PBE) data for crystalline PaAlCu2 at its relaxed geometry, as listed in Alexandria via LeMat-Bulk.

Cell lengths 4.6084, 4.6084, 4.6084 Å; angles 60.00, 60.00, 60.00 degrees
Atoms (fractional coordinates):
Pa: 0.0000 0.0000 0.0000
Al: 0.5000 0.5000 0.5000
Cu: 0.2500 0.2500 0.2500
Cu: 0.7500 0.7500 0.7500

Computed properties:
For the density of states at the Fermi level, the calculation gives 0.6973 states/eV/atom.

---

No. 3
First-principles (GGA-PBE) data for crystalline PaAl4Cu2 at its relaxed geometry, as listed in Alexandria via LeMat-Bulk.

Cell lengths 16.8014, 4.1793, 6.6909 Å; angles 90.00, 90.00, 90.00 degrees
Atoms (fractional coordinates):
Pa: 0.1253 0.2500 0.0073
Pa: 0.3747 0.7500 0.5073
Pa: 0.6253 0.2500 0.4927
Pa: 0.8747 0.7500 0.9927
Al: 0.0357 0.7500 0.7758
Al: 0.0821 0.2500 0.5027
Al: 0.1875 0.7500 0.3190
Al: 0.1951 0.7500 0.7126
Al: 0.3049 0.2500 0.2126
Al: 0.3125 0.2500 0.8190
Al: 0.4179 0.7500 0.0027
Al: 0.4643 0.2500 0.2758
Al: 0.5357 0.7500 0.7242
Al: 0.5821 0.2500 0.9973
Al: 0.6875 0.7500 0.1810
Al: 0.6951 0.7500 0.7874
Al: 0.8049 0.2500 0.2874
Al: 0.8125 0.2500 0.6810
Al: 0.9179 0.7500 0.4973
Al: 0.9643 0.2500 0.2242
Cu: 0.0396 0.7500 0.2592
Cu: 0.2278 0.2500 0.5200
Cu: 0.2722 0.7500 0.0200
Cu: 0.4604 0.2500 0.7592
Cu: 0.5396 0.7500 0.2408
Cu: 0.7278 0.2500 0.9800
Cu: 0.7722 0.7500 0.4800
Cu: 0.9604 0.2500 0.7408

Computed properties:
For the density of states at the Fermi level, the calculation gives 0.6617 states/eV/atom.

---

No. 4
First-principles (GGA-PBE) data for crystalline PaAlCu at its relaxed geometry, as listed in Alexandria via LeMat-Bulk.

Cell lengths 12.5080, 4.1246, 6.6157 Å; angles 90.00, 90.00, 90.00 degrees
Atoms (fractional coordinates):
Pa: 0.0372 0.0000 0.2368
Pa: 0.2500 0.0000 0.6248
Pa: 0.4628 0.0000 0.2368
Pa: 0.5372 0.0000 0.7632
Pa: 0.7500 0.0000 0.3752
Pa: 0.9628 0.0000 0.7632
Al: 0.1386 0.5000 0.9188
Al: 0.2500 0.5000 0.2783
Al: 0.3614 0.5000 0.9188
Al: 0.6386 0.5000 0.0812
Al: 0.7500 0.5000 0.7217
Al: 0.8614 0.5000 0.0812
Cu: 0.0954 0.5000 0.5392
Cu: 0.2500 0.0000 0.0577
Cu: 0.4046 0.5000 0.5392
Cu: 0.5954 0.5000 0.4608
Cu: 0.7500 0.0000 0.9423
Cu: 0.9046 0.5000 0.4608

Computed properties:
For the density of states at the Fermi level, the calculation gives 1.2155 states/eV/atom.

---

Number 1: formation enthalpy at 0 K -0.005 eV per atom, raw total energy -17.348 eV/cell. Number 2: formation enthalpy at 0 K -0.157 eV per atom, raw total energy -22.060 eV/cell. Number 3: formation enthalpy at 0 K -0.248 eV per atom, raw total energy -137.577 eV/cell. Number 4: formation enthalpy at 0 K -0.151 eV per atom, raw total energy -106.728 eV/cell.